A plane-wave DFT calculation with PBE-GGA was carried out for crystalline Gd3BeN at its relaxed geometry.

abc: 4.8007 4.8007 4.8007
angles: 90.00 90.00 90.00
Last column: nearest neighbours and their distance in Å.
Sites, in units of the cell vectors:
Gd 0.0000 0.0000 0.5000  2 N 2.40
Gd 0.0000 0.5000 0.0000  2 N 2.40
Be 0.5000 0.5000 0.5000  12 Gd 3.39
N 0.0000 0.0000 0.0000  6 Gd 2.40
Gd 0.5000 0.0000 0.0000  2 N 2.40

Results
space group	Pm-3m
E_form (uncorrected)	-0.4921	eV per atom
spin magnetization	21.9	Bohr magnetons per cell